No. 1
# CuMoW2 | Alexandria | PBE-GGA | relaxed
# Energy relative to the lowest polymorph listed for this composition (eV/atom): 0.195
# Formation energy (eV per atom): 0.362
data_CuMoW2
_chemical_formula_sum 'Cu1 Mo1 W2'
_cell_length_a 2.636
_cell_length_b 4.230
_cell_length_c 5.520
_cell_angle_alpha 90.00
_cell_angle_beta 90.00
_cell_angle_gamma 90.00
_space_group_name_H-M_alt 'P 1'
_space_group_IT_number 1
_space_group_name_Hall 'P 1'
loop_
_atom_site_label
_atom_site_type_symbol
_atom_site_fract_x
_atom_site_fract_y
_atom_site_fract_z
Cu1 Cu 0.000 0.000 0.000
Mo1 Mo 0.000 0.000 0.500
W1 W 0.500 0.500 0.244
W2 W 0.500 0.500 0.756

No. 2
# CuMo2W | Alexandria | PBE-GGA | relaxed
# Energy relative to the lowest polymorph listed for this composition (eV/atom): 0.256
# Formation energy (eV per atom): 0.392
data_CuMo2W
_chemical_formula_sum 'Cu1 Mo2 W1'
_cell_length_a 9.629
_cell_length_b 9.629
_cell_length_c 9.629
_cell_angle_alpha 16.36
_cell_angle_beta 16.36
_cell_angle_gamma 16.36
_space_group_name_H-M_alt 'P 1'
_space_group_IT_number 1
_space_group_name_Hall 'P 1'
loop_
_atom_site_label
_atom_site_type_symbol
_atom_site_fract_x
_atom_site_fract_y
_atom_site_fract_z
Cu1 Cu 0.000 0.000 0.000
Mo1 Mo 0.254 0.254 0.254
Mo2 Mo 0.746 0.746 0.746
W1 W 0.500 0.500 0.500

No. 3
# CuMoW2 | Alexandria | PBE-GGA | relaxed
# Energy relative to the lowest polymorph listed for this composition (eV/atom): 0.086
# Formation energy (eV per atom): 0.253
data_CuMoW2
_chemical_formula_sum 'Cu1 Mo1 W2'
_cell_length_a 2.670
_cell_length_b 4.469
_cell_length_c 5.203
_cell_angle_alpha 90.00
_cell_angle_beta 99.14
_cell_angle_gamma 90.00
_space_group_name_H-M_alt 'P 1'
_space_group_IT_number 1
_space_group_name_Hall 'P 1'
loop_
_atom_site_label
_atom_site_type_symbol
_atom_site_fract_x
_atom_site_fract_y
_atom_site_fract_z
Cu1 Cu 0.000 0.000 0.000
Mo1 Mo 0.702 0.500 0.241
W1 W 0.190 0.500 0.744
W2 W 0.461 0.000 0.499

No. 4
# CuMoW2 | Alexandria | PBE-GGA | relaxed
# Energy relative to the lowest polymorph listed for this composition (eV/atom): 0.204
# Formation energy (eV per atom): 0.371
data_CuMoW2
_chemical_formula_sum 'Cu1 Mo1 W2'
_cell_length_a 4.423
_cell_length_b 4.423
_cell_length_c 4.423
_cell_angle_alpha 60.00
_cell_angle_beta 60.00
_cell_angle_gamma 60.00
_space_group_name_H-M_alt 'P 1'
_space_group_IT_number 1
_space_group_name_Hall 'P 1'
loop_
_atom_site_label
_atom_site_type_symbol
_atom_site_fract_x
_atom_site_fract_y
_atom_site_fract_z
Cu1 Cu 0.000 0.000 0.000
Mo1 Mo 0.250 0.250 0.250
W1 W 0.500 0.500 0.500
W2 W 0.750 0.750 0.750

formation energy of number 1 (CuMoW2)? 0.362 eV per atom